Entry from Alexandria via LeMat-Bulk: a relaxed Ce2NiGe crystal (PBE).

The space group is R-3m (No. 166, hexagonal axes) and the conventional cell measures 3.0583, 3.0583 and 30.3449 Å, with angles of 90.00, 90.00 and 120.00 degrees. The distinct sites, in fractional coordinates, are Ce at (0.0000, 0.0000, 0.0814), Ni at (0.0000, 0.0000, 0.0000) and Ge at (0.0000, 0.0000, 0.5000).

The total energy comes out at -5.5188 eV per atom.